! CaLaPrHg GGA-PBE relaxed; values from VASP
! E_form   -0.1097 eV per atom
! Raw total energy   -3.112 eV per atom
! Excess energy over the best structure of this formula in the dataset   133.0 meV/atom
&SYSTEM
  ibrav = 0, nat = 4, ntyp = 4
/
ATOMIC_SPECIES
Ca 40.08 Ca.upf
La 138.91 La.upf
Pr 140.91 Pr.upf
Hg 200.59 Hg.upf
CELL_PARAMETERS angstrom
0.000 4.007 4.007
4.007 0.000 4.007
4.007 4.007 0.000
ATOMIC_POSITIONS angstrom
Ca 0.000 0.000 0.000
La 2.003 2.003 2.003
Pr 6.010 6.010 6.010
Hg 4.007 4.007 4.007